Record 1
This record from Alexandria via LeMat-Bulk describes a relaxed structure of Ba2CuClO2. The functional is PBE-GGA.

## Properties
E_form (uncorrected)	-12.67	eV per formula unit
E_tot	-5.396	eV per atom
SG	No. 166
total moment	0.0	μB/f.u.

a = 9.9056 Å, b = 9.9056 Å, c = 9.9056 Å
α = 25.25°, β = 25.25°, γ = 25.25°
Last column: nearest neighbours and their distance in Å.
Atoms (fractional coordinates):
Ba 0.2455 0.2455 0.2455  3 O 2.60
Ba 0.7545 0.7545 0.7545  3 O 2.60
Cu 0.0000 0.0000 0.0000  2 O 1.81
Cl 0.5000 0.5000 0.5000  6 Ba 3.37
O 0.0631 0.0631 0.0631  1 Cu 1.81
O 0.9369 0.9369 0.9369  1 Cu 1.81

=====

Record 2
This record from Alexandria via LeMat-Bulk describes a relaxed structure of BaCuPClO4. The functional is PBE-GGA.

## Properties
E_form (uncorrected)	-16.57	eV per formula unit
E_tot	-6.209	eV per atom
SG	No. 19
total moment	1.0	μB/f.u.

a = 7.3846 Å, b = 8.0114 Å, c = 8.8426 Å
α = 90.00°, β = 90.00°, γ = 90.00°
Last column: nearest neighbours and their distance in Å.
Atoms (fractional coordinates):
Ba 0.1258 0.0223 0.1977  6 O 2.72-3.04
Ba 0.3742 0.9777 0.6977  6 O 2.72-3.04
Ba 0.6258 0.4777 0.8023  6 O 2.72-3.04
Ba 0.8742 0.5223 0.3023  6 O 2.72-3.04
Cu 0.1357 0.4788 0.6851  4 O 1.96-2.10
Cu 0.3643 0.5212 0.1851  4 O 1.96-2.10
Cu 0.6357 0.0212 0.3149  4 O 1.96-2.10
Cu 0.8643 0.9788 0.8149  4 O 1.96-2.10
P 0.1263 0.6808 0.9174  4 O 1.55-1.57
P 0.3737 0.3192 0.4174  4 O 1.55-1.57
P 0.6263 0.8192 0.0826  4 O 1.55-1.57
P 0.8737 0.1808 0.5826  4 O 1.55-1.57
Cl 0.1738 0.7443 0.4505  2 Cu 2.98-3.27, 3 Ba 3.13-3.23, 1 O 3.34
Cl 0.3262 0.2557 0.9505  2 Cu 2.98-3.27, 3 Ba 3.13-3.23, 1 O 3.34
Cl 0.6738 0.7557 0.5495  2 Cu 2.98-3.27, 3 Ba 3.13-3.23, 1 O 3.34
Cl 0.8262 0.2443 0.0495  2 Cu 2.98-3.27, 3 Ba 3.13-3.23, 1 O 3.34
O 0.0246 0.0733 0.6563  1 P 1.55
O 0.0763 0.8703 0.9132  1 P 1.56
O 0.1630 0.6372 0.0852  1 P 1.55
O 0.2077 0.3528 0.3112  1 P 1.57
O 0.2923 0.6472 0.8112  1 P 1.57
O 0.3370 0.3628 0.5852  1 P 1.55
O 0.4237 0.1297 0.4132  1 P 1.56
O 0.4754 0.9267 0.1563  1 P 1.55
O 0.5246 0.4267 0.3437  1 P 1.55
O 0.5763 0.6297 0.0868  1 P 1.56
O 0.6630 0.8628 0.9148  1 P 1.55
O 0.7077 0.1472 0.6888  1 P 1.57
O 0.7923 0.8528 0.1888  1 P 1.57
O 0.8370 0.1372 0.4148  1 P 1.55
O 0.9237 0.3703 0.5868  1 P 1.56
O 0.9754 0.5733 0.8437  1 P 1.55

=====

Record 3
This record from Alexandria via LeMat-Bulk describes a relaxed structure of Ba2TaCu2Pb2ClO8. The functional is PBE-GGA.

## Properties
E_form (uncorrected)	-29.85	eV per formula unit
E_tot	-6.417	eV per atom
SG	No. 123
total moment	0.3	μB/f.u.

a = 3.9954 Å, b = 3.9954 Å, c = 15.9691 Å
α = 90.00°, β = 90.00°, γ = 90.00°
Last column: nearest neighbours and their distance in Å.
Atoms (fractional coordinates):
Ba 0.0000 0.0000 0.1507  12 O 2.86-3.13
Ba 0.0000 0.0000 0.8493  12 O 2.86-3.13
Ta 0.5000 0.5000 0.0000  6 O 1.98-2.00
Cu 0.5000 0.5000 0.2779  4 O 2.01
Cu 0.5000 0.5000 0.7221  4 O 2.01
Pb 0.0000 0.0000 0.3808  4 O 2.48
Pb 0.0000 0.0000 0.6192  4 O 2.48
Cl 0.5000 0.5000 0.5000  8 Pb 3.41, 2 Cu 3.55
O 0.0000 0.5000 0.0000  2 Ta 2.00
O 0.0000 0.5000 0.2889  2 Cu 2.01
O 0.0000 0.5000 0.7111  2 Cu 2.01
O 0.5000 0.0000 0.0000  2 Ta 2.00
O 0.5000 0.0000 0.2889  2 Cu 2.01
O 0.5000 0.0000 0.7111  2 Cu 2.01
O 0.5000 0.5000 0.1243  1 Ta 1.98
O 0.5000 0.5000 0.8757  1 Ta 1.98

=====

Record 4
This record from Alexandria via LeMat-Bulk describes a relaxed structure of Ba2Cu4Te4Cl4O11. The functional is PBE-GGA.

## Properties
E_form (uncorrected)	-31.19	eV per formula unit
E_tot	-5.037	eV per atom
SG	No. 2
total moment	2.1	μB/f.u.

a = 9.3970 Å, b = 9.4076 Å, c = 12.4695 Å
α = 111.07°, β = 98.59°, γ = 108.18°
Last column: nearest neighbours and their distance in Å.
Atoms (fractional coordinates):
Ba 0.0192 0.2804 0.0515  10 O 2.89-3.00
Ba 0.4778 0.2153 0.9422  10 O 2.91-2.96
Ba 0.5222 0.7847 0.0578  10 O 2.91-2.96
Ba 0.9808 0.7196 0.9485  10 O 2.89-3.00
Cu 0.1862 0.3997 0.8314  4 O 1.98-2.00
Cu 0.2282 0.0823 0.5116  1 O 1.99, 1 Cl 2.19
Cu 0.3116 0.4442 0.4786  4 Cl 2.28-2.36
Cu 0.3157 0.1017 0.1701  4 O 1.99-2.00
Cu 0.6843 0.8983 0.8299  4 O 1.99-2.00
Cu 0.6884 0.5558 0.5214  4 Cl 2.28-2.36
Cu 0.7718 0.9177 0.4884  1 O 1.99, 1 Cl 2.19
Cu 0.8138 0.6003 0.1686  4 O 1.98-2.00
Te 0.0239 0.9739 0.7436  3 O 1.90-2.06
Te 0.2200 0.7786 0.2565  3 O 1.91-2.07
Te 0.2696 0.7428 0.7617  3 O 1.90-1.93
Te 0.4509 0.5252 0.2355  3 O 1.90-1.93
Te 0.5491 0.4748 0.7645  3 O 1.90-1.93
Te 0.7304 0.2572 0.2383  3 O 1.90-1.93
Te 0.7800 0.2214 0.7435  3 O 1.91-2.07
Te 0.9761 0.0261 0.2564  3 O 1.90-2.06
Cl 0.1326 0.4660 0.3466  1 Cu 2.28
Cl 0.1676 0.3113 0.5775  2 Cu 2.30-2.34
Cl 0.3681 0.0380 0.6435  1 Cu 2.19
Cl 0.4709 0.3000 0.4155  2 Cu 2.36
Cl 0.5291 0.7000 0.5845  2 Cu 2.36
Cl 0.6319 0.9620 0.3565  1 Cu 2.19
Cl 0.8324 0.6887 0.4225  2 Cu 2.30-2.34
Cl 0.8674 0.5340 0.6534  1 Cu 2.28
O 0.0222 0.6183 0.1453  1 Te 1.91, 1 Cu 1.99
O 0.0886 0.0554 0.1456  1 Te 1.90, 1 Cu 1.99
O 0.1276 0.9494 0.3355  1 Cu 1.99, 2 Te 2.06-2.07
O 0.1649 0.1948 0.8513  1 Te 1.90, 1 Cu 1.98
O 0.1921 0.9053 0.8445  1 Te 1.93
O 0.2274 0.6340 0.8625  1 Te 1.90, 1 Cu 1.99
O 0.2786 0.8718 0.1490  1 Te 1.91, 1 Cu 1.99
O 0.3098 0.5906 0.1537  1 Te 1.93
O 0.3309 0.2962 0.1341  1 Te 1.90, 1 Cu 2.00
O 0.4154 0.4509 0.8627  1 Te 1.90, 1 Cu 2.00
O 0.4785 0.8838 0.8602  1 Te 1.90, 1 Cu 2.00
O 0.5215 0.1162 0.1398  1 Te 1.90, 1 Cu 2.00
O 0.5846 0.5491 0.1373  1 Te 1.90, 1 Cu 2.00
O 0.6691 0.7038 0.8659  1 Te 1.90, 1 Cu 2.00
O 0.6902 0.4094 0.8463  1 Te 1.93
O 0.7214 0.1282 0.8510  1 Te 1.91, 1 Cu 1.99
O 0.7726 0.3660 0.1375  1 Te 1.90, 1 Cu 1.99
O 0.8079 0.0947 0.1555  1 Te 1.93
O 0.8351 0.8052 0.1487  1 Te 1.90, 1 Cu 1.98
O 0.8724 0.0506 0.6645  1 Cu 1.99, 2 Te 2.06-2.07
O 0.9114 0.9446 0.8544  1 Te 1.90, 1 Cu 1.99
O 0.9778 0.3817 0.8547  1 Te 1.91, 1 Cu 1.99

=====

Record 5
This record from Alexandria via LeMat-Bulk describes a relaxed structure of Ba6CuP2Cl3. The functional is PBE-GGA.

## Properties
E_form (uncorrected)	-16.34	eV per formula unit
E_tot	-4.028	eV per atom
SG	No. 12
total moment	1.7	μB/f.u.

a = 8.0414 Å, b = 8.0414 Å, c = 8.1854 Å
α = 99.60°, β = 99.60°, γ = 119.78°
Last column: nearest neighbours and their distance in Å.
Atoms (fractional coordinates):
Ba 0.0810 0.4236 0.7719  2 P 3.18-3.19, 1 Cu 3.27, 3 Cl 3.28-3.45
Ba 0.2323 0.2323 0.2334  2 P 3.19, 3 Cl 3.32-3.48, 1 Cu 3.33
Ba 0.4236 0.0810 0.7719  2 P 3.18-3.19, 1 Cu 3.27, 3 Cl 3.28-3.45
Ba 0.5764 0.9190 0.2281  2 P 3.18-3.19, 1 Cu 3.27, 3 Cl 3.28-3.45
Ba 0.7677 0.7677 0.7666  2 P 3.19, 3 Cl 3.32-3.48, 1 Cu 3.33
Ba 0.9190 0.5764 0.2281  2 P 3.18-3.19, 1 Cu 3.27, 3 Cl 3.28-3.45
Cu 0.5000 0.5000 0.0000  6 Ba 3.27-3.33
P 0.1664 0.8336 0.0000  6 Ba 3.18-3.19
P 0.8336 0.1664 0.0000  6 Ba 3.18-3.19
Cl 0.0000 0.0000 0.5000  6 Ba 3.32-3.43
Cl 0.3268 0.6732 0.5000  6 Ba 3.28-3.48
Cl 0.6732 0.3268 0.5000  6 Ba 3.28-3.48

=====

Record 6
This record from Alexandria via LeMat-Bulk describes a relaxed structure of BaCuPCl2. The functional is PBE-GGA.

## Properties
E_form (uncorrected)	-4.25	eV per formula unit
E_tot	-3.874	eV per atom
SG	No. 123
total moment	1.4	μB/f.u.

a = 5.0848 Å, b = 5.0848 Å, c = 4.6327 Å
α = 90.00°, β = 90.00°, γ = 90.00°
Last column: nearest neighbours and their distance in Å.
Atoms (fractional coordinates):
Ba 0.0000 0.0000 0.0000  8 Cl 3.44, 4 P 3.60
Cu 0.5000 0.5000 0.5000  2 P 2.32, 4 Cl 2.54
P 0.5000 0.5000 0.0000  2 Cu 2.32
Cl 0.0000 0.5000 0.5000  2 Cu 2.54
Cl 0.5000 0.0000 0.5000  2 Cu 2.54

=====

Record 7
This record from Alexandria via LeMat-Bulk describes a relaxed structure of BaCuPCl2. The functional is PBE-GGA.

## Properties
E_form (uncorrected)	-0.15	eV per formula unit
E_tot	-3.053	eV per atom
SG	No. 123
total moment	2.0	μB/f.u.

a = 5.9049 Å, b = 5.9049 Å, c = 6.5296 Å
α = 90.00°, β = 90.00°, γ = 90.00°
Last column: nearest neighbours and their distance in Å.
Atoms (fractional coordinates):
Ba 0.0000 0.0000 0.0000  4 Cl 2.95, 2 P 3.26
Cu 0.5000 0.5000 0.5000  4 P 4.18, 8 Cl 4.40
P 0.0000 0.0000 0.5000  2 Ba 3.26
Cl 0.0000 0.5000 0.0000  2 Ba 2.95
Cl 0.5000 0.0000 0.0000  2 Ba 2.95

=====

Record 8
This record from Alexandria via LeMat-Bulk describes a relaxed structure of Ba8CuP3Cl4. The functional is PBE-GGA.

## Properties
E_form (uncorrected)	-22.99	eV per formula unit
E_tot	-4.130	eV per atom
SG	No. 166
total moment	1.9	μB/f.u.

a = 9.3958 Å, b = 9.3958 Å, c = 9.3958 Å
α = 59.35°, β = 59.35°, γ = 59.35°
Last column: nearest neighbours and their distance in Å.
Atoms (fractional coordinates):
Ba 0.2356 0.7462 0.7462  2 P 3.19, 1 Cu 3.26, 3 Cl 3.36-3.43
Ba 0.2415 0.2415 0.2415  3 P 3.20, 3 Cl 3.42
Ba 0.2538 0.2538 0.7644  2 P 3.19, 1 Cu 3.26, 3 Cl 3.36-3.43
Ba 0.2538 0.7644 0.2538  2 P 3.19, 1 Cu 3.26, 3 Cl 3.36-3.43
Ba 0.7462 0.2356 0.7462  2 P 3.19, 1 Cu 3.26, 3 Cl 3.36-3.43
Ba 0.7462 0.7462 0.2356  2 P 3.19, 1 Cu 3.26, 3 Cl 3.36-3.43
Ba 0.7585 0.7585 0.7585  3 P 3.20, 3 Cl 3.42
Ba 0.7644 0.2538 0.2538  2 P 3.19, 1 Cu 3.26, 3 Cl 3.36-3.43
Cu 0.5000 0.5000 0.5000  6 Ba 3.26
P 0.0000 0.0000 0.5000  6 Ba 3.19-3.20
P 0.0000 0.5000 0.0000  6 Ba 3.19-3.20
P 0.5000 0.0000 0.0000  6 Ba 3.19-3.20
Cl 0.0000 0.0000 0.0000  6 Ba 3.36
Cl 0.0000 0.5000 0.5000  6 Ba 3.42-3.43
Cl 0.5000 0.0000 0.5000  6 Ba 3.42-3.43
Cl 0.5000 0.5000 0.0000  6 Ba 3.42-3.43

=====

Record 9
This record from Alexandria via LeMat-Bulk describes a relaxed structure of BaCu2PbCl6. The functional is PBE-GGA.

## Properties
E_form (uncorrected)	-12.48	eV per formula unit
E_tot	-3.738	eV per atom
SG	No. 148
total moment	0.2	μB/f.u.

a = 8.2998 Å, b = 8.2998 Å, c = 8.2998 Å
α = 50.40°, β = 50.40°, γ = 50.40°
Last column: nearest neighbours and their distance in Å.
Atoms (fractional coordinates):
Ba 0.0000 0.0000 0.0000  6 Cl 3.11
Cu 0.2465 0.2465 0.2465  3 Cl 2.24
Cu 0.7535 0.7535 0.7535  3 Cl 2.24
Pb 0.5000 0.5000 0.5000  6 Cl 2.93
Cl 0.0758 0.7397 0.4428  1 Cu 2.24
Cl 0.2603 0.5572 0.9242  1 Cu 2.24
Cl 0.4428 0.0758 0.7397  1 Cu 2.24
Cl 0.5572 0.9242 0.2603  1 Cu 2.24
Cl 0.7397 0.4428 0.0758  1 Cu 2.24
Cl 0.9242 0.2603 0.5572  1 Cu 2.24

=====

| no. | V (Å³/atom) |
| --- | --- |
| 1 | 25.935 |
| 2 | 16.348 |
| 3 | 15.932 |
| 4 | 18.677 |
| 5 | 36.109 |
| 6 | 23.955 |
| 7 | 45.535 |
| 8 | 36.120 |
| 9 | 31.265 |